# 1
# GaHNF2, relaxed, DFT PBE
data_GaHNF2
_chemical_formula_sum 'Ga1 H1 N1 F2'
_space_group_name_H-M_alt 'P 4/m m m'
_space_group_IT_number 123
_space_group_name_Hall '-P 4 2'
_cell_length_a 4.3439
_cell_length_b 4.3439
_cell_length_c 2.6011
_cell_angle_alpha 90.00
_cell_angle_beta 90.00
_cell_angle_gamma 90.00
loop_
_atom_site_label
_atom_site_type_symbol
_atom_site_fract_x
_atom_site_fract_y
_atom_site_fract_z
Ga1 Ga 0.0000 0.0000 0.0000
H1 H 0.5000 0.5000 0.5000
N1 N 0.5000 0.5000 0.0000
F1 F 0.0000 0.5000 0.5000
# Relative energy among the computed polymorphs = 0.2412 eV/atom

=====

# 2
# Ca2AlO, relaxed, DFT PBE
data_Ca2AlO
_chemical_formula_sum 'Ca8 Al4 O4'
_space_group_name_H-M_alt 'I -4 2 d'
_space_group_IT_number 122
_space_group_name_Hall 'I -4 2bw'
_cell_length_a 6.8687
_cell_length_b 6.8687
_cell_length_c 8.5463
_cell_angle_alpha 90.00
_cell_angle_beta 90.00
_cell_angle_gamma 90.00
loop_
_atom_site_label
_atom_site_type_symbol
_atom_site_fract_x
_atom_site_fract_y
_atom_site_fract_z
Ca1 Ca 0.1334 0.2500 0.1250
Al1 Al 0.0000 0.0000 0.5000
O1 O 0.0000 0.0000 0.0000
# Energy relative to the elements, uncorrected = -1.27 eV/atom
# Relative energy among the computed polymorphs = 0.0000 eV/atom

=====

# 3
# Tb2Ho5Sc5, relaxed, DFT PBE
data_Tb2Ho5Sc5
_chemical_formula_sum 'Tb4 Ho10 Sc10'
_space_group_name_H-M_alt 'C 1 2/m 1'
_space_group_IT_number 12
_cell_length_a 14.5042
_cell_length_b 4.8321
_cell_length_c 10.8207
_cell_angle_alpha 90.00
_cell_angle_beta 116.50
_cell_angle_gamma 90.00
loop_
_space_group_symop_operation_xyz
'x,y,z'
'-x,-y,-z'
'-x,y,-z'
'x,-y,z'
'x+1/2,y+1/2,z'
'-x+1/2,-y+1/2,-z'
'-x+1/2,y+1/2,-z'
'x+1/2,-y+1/2,z'
loop_
_atom_site_label
_atom_site_type_symbol
_atom_site_fract_x
_atom_site_fract_y
_atom_site_fract_z
Tb1 Tb 0.0833 0.0000 0.2457
Ho1 Ho 0.0000 0.5000 0.0000
Ho2 Ho 0.0878 0.5000 0.7522
Ho3 Ho 0.1649 0.5000 0.4993
Sc1 Sc 0.0000 0.0000 0.5000
Sc2 Sc 0.1710 0.0000 0.0013
Sc3 Sc 0.2495 0.0000 0.7535
# Formation energy from the elements = 5 kJ per mole of atoms

=====

# 4
# LiAgPdPb, relaxed, DFT PBE
data_LiAgPdPb
_chemical_formula_sum 'Li4 Ag4 Pd4 Pb4'
_space_group_name_H-M_alt 'F -4 3 m'
_space_group_IT_number 216
_space_group_name_Hall 'F -4 2 3'
_cell_length_a 6.6313
_cell_length_b 6.6313
_cell_length_c 6.6313
_cell_angle_alpha 90.00
_cell_angle_beta 90.00
_cell_angle_gamma 90.00
loop_
_atom_site_label
_atom_site_type_symbol
_atom_site_fract_x
_atom_site_fract_y
_atom_site_fract_z
Li1 Li 0.0000 0.0000 0.0000
Ag1 Ag 0.2500 0.2500 0.7500
Pd1 Pd 0.0000 0.0000 0.5000
Pb1 Pb 0.2500 0.2500 0.2500
# Formation energy from the elements = -26 kJ per mole of atoms

=====

# 5
# LiFe2P, relaxed, DFT PBE
data_LiFe2P
_chemical_formula_sum 'Li3 Fe6 P3'
_space_group_name_H-M_alt 'R 3 m'
_space_group_IT_number 160
_space_group_name_Hall 'R 3 -2"'
_cell_length_a 2.6782
_cell_length_b 2.6782
_cell_length_c 23.9714
_cell_angle_alpha 90.00
_cell_angle_beta 90.00
_cell_angle_gamma 120.00
loop_
_atom_site_label
_atom_site_type_symbol
_atom_site_fract_x
_atom_site_fract_y
_atom_site_fract_z
Li1 Li 0.0000 0.0000 0.0000
Fe1 Fe 0.0000 0.0000 0.2398
Fe2 Fe 0.0000 0.0000 0.4897
P1 P 0.0000 0.0000 0.7560
# Formation energy from the elements = -1 kJ per mole of atoms

=====

# 6
# ZrCrGa3, relaxed, DFT PBE
data_ZrCrGa3
_chemical_formula_sum 'Zr1 Cr1 Ga3'
_space_group_name_H-M_alt 'P m -3 m'
_space_group_IT_number 221
_space_group_name_Hall '-P 4 2 3'
_cell_length_a 4.5560
_cell_length_b 4.5560
_cell_length_c 4.5560
_cell_angle_alpha 90.00
_cell_angle_beta 90.00
_cell_angle_gamma 90.00
loop_
_atom_site_label
_atom_site_type_symbol
_atom_site_fract_x
_atom_site_fract_y
_atom_site_fract_z
Zr1 Zr 0.0000 0.0000 0.0000
Cr1 Cr 0.5000 0.5000 0.5000
Ga1 Ga 0.0000 0.5000 0.5000
# Relative energy among the computed polymorphs = 0.0000 eV/atom
# Formation energy from the elements = 24 kJ per mole of atoms